# 1
DFT (PBE) results for an optimized crystal structure of Ag2HgIO6.

Output
energy relative to the elements, uncorrected: -0.15 eV per atom
total magnetization: 0.00 μB/atom

Unit cell a=6.281 b=6.281 c=6.281 alpha=54.73 beta=54.73 gamma=54.73
Atoms (fractional coordinates):
Ag (0.000, 0.000, 0.000)
Ag (0.469, 0.469, 0.469)
Hg (0.209, 0.209, 0.209)
I (0.799, 0.799, 0.799)
O (0.019, 0.453, 0.742)
O (0.154, 0.857, 0.623)
O (0.453, 0.742, 0.019)
O (0.623, 0.154, 0.857)
O (0.742, 0.019, 0.453)
O (0.857, 0.623, 0.154)

=====

# 2
DFT (PBE) results for an optimized crystal structure of AgHg2IO6.

Output
energy relative to the elements, uncorrected: -0.23 eV per atom
total magnetization: 0.00 μB/atom

Unit cell a=5.822 b=5.826 c=5.874 alpha=119.63 beta=90.05 gamma=119.94
Atoms (fractional coordinates):
Ag (0.000, 0.000, 0.000)
Hg (0.249, 0.498, 0.746)
Hg (0.751, 0.502, 0.254)
I (0.500, 0.000, 0.500)
O (0.164, 0.561, 0.267)
O (0.294, 0.131, 0.734)
O (0.397, 0.104, 0.267)
O (0.603, 0.896, 0.733)
O (0.706, 0.869, 0.266)
O (0.836, 0.439, 0.733)

=====

# 3
DFT (PBE) results for an optimized crystal structure of Ag2HgIO4.

Output
energy relative to the elements, uncorrected: 0.00 eV per atom
total magnetization: 0.00 μB/atom

Unit cell a=5.514 b=5.514 c=5.514 alpha=114.39 beta=114.39 gamma=100.03
Atoms (fractional coordinates):
Ag (0.000, 0.000, 0.000)
Ag (0.750, 0.250, 0.500)
Hg (0.500, 0.500, 0.000)
I (0.250, 0.750, 0.500)
O (0.095, 0.080, 0.540)
O (0.445, 0.905, 0.985)
O (0.540, 0.555, 0.460)
O (0.920, 0.460, 0.015)

=====

# 4
DFT (PBE) results for an optimized crystal structure of Ag2Hg2IO6.

Output
energy relative to the elements, uncorrected: -0.17 eV per atom
total magnetization: 0.00 μB/atom

Unit cell a=6.201 b=6.201 c=6.088 alpha=104.77 beta=104.77 gamma=113.15
Atoms (fractional coordinates):
Ag (0.163, 0.837, 0.000)
Ag (0.837, 0.163, 0.000)
Hg (0.337, 0.663, 0.500)
Hg (0.663, 0.337, 0.500)
I (0.500, 0.500, 0.000)
O (0.214, 0.507, 0.742)
O (0.246, 0.246, 0.066)
O (0.493, 0.786, 0.258)
O (0.507, 0.214, 0.742)
O (0.754, 0.754, 0.934)
O (0.786, 0.493, 0.258)

=====

# 5
DFT (PBE) results for an optimized crystal structure of PaAgHg2I6.

Output
energy relative to the elements, uncorrected: -0.60 eV per atom
total magnetization: 0.00 μB/atom

Unit cell a=8.695 b=8.695 c=7.147 alpha=90.00 beta=90.00 gamma=120.00
Atoms (fractional coordinates):
Pa (0.000, 0.000, 0.000)
Ag (0.000, 0.000, 0.500)
Hg (0.333, 0.667, 0.253)
Hg (0.667, 0.333, 0.747)
I (0.160, 0.321, 0.760)
I (0.160, 0.840, 0.760)
I (0.321, 0.160, 0.240)
I (0.679, 0.840, 0.760)
I (0.840, 0.160, 0.240)
I (0.840, 0.679, 0.240)

=====

# 6
DFT (PBE) results for an optimized crystal structure of AgHgPbI3.

Output
energy relative to the elements, uncorrected: -0.38 eV per atom
total magnetization: 0.00 μB/atom

Unit cell a=11.006 b=4.619 c=11.392 alpha=90.00 beta=111.71 gamma=90.00
Atoms (fractional coordinates):
Ag (0.073, 0.250, 0.087)
Ag (0.927, 0.750, 0.913)
Hg (0.209, 0.250, 0.745)
Hg (0.791, 0.750, 0.255)
Pb (0.326, 0.750, 0.355)
Pb (0.674, 0.250, 0.645)
I (0.119, 0.250, 0.353)
I (0.211, 0.750, 0.040)
I (0.467, 0.750, 0.659)
I (0.533, 0.250, 0.341)
I (0.789, 0.250, 0.960)
I (0.881, 0.750, 0.647)

=====

# 7
DFT (PBE) results for an optimized crystal structure of AgHgPb2I.

Output
energy relative to the elements, uncorrected: 0.76 eV per atom
total magnetization: 0.00 μB/atom

Unit cell a=6.071 b=6.071 c=5.959 alpha=90.00 beta=90.00 gamma=90.00
Atoms (fractional coordinates):
Ag (0.000, 0.000, 0.000)
Hg (0.500, 0.500, 0.000)
Pb (0.000, 0.500, 0.500)
Pb (0.500, 0.000, 0.500)
I (0.500, 0.500, 0.500)

=====

# 8
DFT (PBE) results for an optimized crystal structure of Rb2AgHgI6.

Output
energy relative to the elements, uncorrected: -0.67 eV per atom
total magnetization: 0.00 μB/atom

Unit cell a=8.503 b=8.503 c=8.503 alpha=120.63 beta=120.63 gamma=88.91
Atoms (fractional coordinates):
Rb (0.250, 0.750, 0.500)
Rb (0.750, 0.250, 0.500)
Ag (0.000, 0.000, 0.000)
Hg (0.500, 0.500, 0.000)
I (0.227, 0.227, 0.000)
I (0.256, 0.256, 0.511)
I (0.256, 0.744, 0.000)
I (0.744, 0.256, 0.000)
I (0.744, 0.744, 0.489)
I (0.773, 0.773, 0.000)

=====

# 9
DFT (PBE) results for an optimized crystal structure of RbAgHgI2.

Output
energy relative to the elements, uncorrected: -0.63 eV per atom
total magnetization: 0.00 μB/atom

Unit cell a=6.024 b=6.024 c=5.576 alpha=90.00 beta=90.00 gamma=90.00
Atoms (fractional coordinates):
Rb (0.000, 0.000, 0.000)
Ag (0.500, 0.500, 0.500)
Hg (0.500, 0.500, 0.000)
I (0.000, 0.500, 0.500)
I (0.500, 0.000, 0.500)

=====

# 10
DFT (PBE) results for an optimized crystal structure of RbAgHgI2.

Output
energy relative to the elements, uncorrected: -0.65 eV per atom
total magnetization: 0.00 μB/atom

Unit cell a=9.432 b=9.432 c=11.295 alpha=118.86 beta=118.86 gamma=29.89
Atoms (fractional coordinates):
Rb (0.225, 0.225, 0.259)
Rb (0.775, 0.775, 0.741)
Ag (0.058, 0.058, 0.444)
Ag (0.942, 0.942, 0.556)
Hg (0.414, 0.414, 0.036)
Hg (0.586, 0.586, 0.964)
I (0.125, 0.125, 0.736)
I (0.383, 0.383, 0.626)
I (0.617, 0.617, 0.374)
I (0.875, 0.875, 0.264)

=====

# 11
DFT (PBE) results for an optimized crystal structure of Rb2AgHgI.

Output
energy relative to the elements, uncorrected: -0.48 eV per atom
total magnetization: 0.00 μB/atom

Unit cell a=6.632 b=6.632 c=5.433 alpha=90.00 beta=90.00 gamma=90.00
Atoms (fractional coordinates):
Rb (0.000, 0.500, 0.000)
Rb (0.500, 0.000, 0.000)
Ag (0.000, 0.000, 0.000)
Hg (0.000, 0.000, 0.500)
I (0.500, 0.500, 0.500)

=====

# 12
DFT (PBE) results for an optimized crystal structure of Rb2AgHgI5.

Output
energy relative to the elements, uncorrected: -0.81 eV per atom
total magnetization: 0.00 μB/atom

Unit cell a=11.500 b=11.500 c=15.607 alpha=90.00 beta=90.00 gamma=156.15
Atoms (fractional coordinates):
Rb (0.085, 0.915, 0.500)
Rb (0.155, 0.845, 0.163)
Rb (0.845, 0.155, 0.663)
Rb (0.915, 0.085, 0.000)
Ag (0.263, 0.737, 0.954)
Ag (0.737, 0.263, 0.454)
Hg (0.436, 0.564, 0.236)
Hg (0.564, 0.436, 0.736)
I (0.056, 0.944, 0.844)
I (0.301, 0.699, 0.485)
I (0.327, 0.673, 0.142)
I (0.359, 0.641, 0.842)
I (0.475, 0.525, 0.606)
I (0.525, 0.475, 0.106)
I (0.641, 0.359, 0.342)
I (0.673, 0.327, 0.642)
I (0.699, 0.301, 0.985)
I (0.944, 0.056, 0.344)